This record from the Alexandria database describes VNiSe2O after structural relaxation. The functional is GGA+U.

VASP energy = -4.0436 eV per atom

a = 4.7911 Å, b = 4.7911 Å, c = 3.6082 Å
α = 90.00°, β = 90.00°, γ = 90.00°
With the nearest neighbours (Å) after each atom.
Fractional coordinates of all 5 atoms:
V (0.0000, 0.0000, 0.0000)  8 Se 3.00
Ni (0.5000, 0.5000, 0.5000)  2 O 1.80
Se (0.0000, 0.5000, 0.5000)  2 Ni 2.40
Se (0.5000, 0.0000, 0.5000)  2 Ni 2.40
O (0.5000, 0.5000, 0.0000)  2 Ni 1.80